Material: CoBiF2
Method: DFT, GGA+U
State: relaxed

Cell lengths 6.1016, 6.1016, 6.1171 Å; angles 60.08, 60.08, 90.00 degrees
Last column: magnetic moment on the atom in μB.
Sites, in units of the cell vectors:
1 F 0.3001 0.6250 0.2500  0.07
2 F 0.3750 0.5501 0.7500  0.07
3 F 0.4499 0.1250 0.2500  0.07
4 F 0.8750 0.6999 0.7500  0.07
5 Co 0.2500 0.7500 0.5000  2.76
6 Co 0.5000 0.5000 0.0000  2.76
7 Bi 0.7500 0.2500 0.5000  0.01
8 Bi 0.0000 0.0000 0.0000  0.01

## Properties
Relative energy among the computed polymorphs   241 meV/atom
Total magnetic moment   5.98 Bohr magnetons per cell
V   20.18 A^3/atom